## A
The following is a PBE calculation of Tm3Ga4 after structural relaxation, from Alexandria.

Output
The space group is No. 63.

Unit cell a=4.0696 b=5.7369 c=13.8644 alpha=90.00 beta=90.00 gamma=110.84
Last column: nearest neighbours and their distance in Å.
Sites, in units of the cell vectors:
Ga1 0.0009 0.0019 0.0002  4 Ga 2.64
Tm1 0.0047 0.0090 0.7504  7 Ga 2.92-3.18
Ga2 0.0010 0.0020 0.5004  4 Ga 2.64
Ga3 0.2705 0.5407 0.2503  2 Ga 2.58
Tm2 0.3004 0.6009 0.6008  8 Ga 3.00-3.27
Ga4 0.5873 0.1737 0.6016  3 Ga 2.58-2.64
Tm3 0.3005 0.6009 0.8999  8 Ga 3.00-3.27
Tm4 0.7020 0.4039 0.4000  8 Ga 3.00-3.28
Tm5 0.9977 0.9957 0.2504  7 Ga 2.92-3.18
Ga5 0.4151 0.8311 0.1016  3 Ga 2.58-2.64
Tm6 0.7020 0.4039 0.1007  8 Ga 3.00-3.28
Ga6 0.7318 0.4639 0.7503  2 Ga 2.58
Ga7 0.4150 0.8310 0.3991  3 Ga 2.58-2.64
Ga8 0.5873 0.1738 0.8991  3 Ga 2.58-2.64

## B
The following is a PBE calculation of Tm3Ga4 after structural relaxation, from Alexandria.

Output
The space group is No. 71.

Unit cell a=4.0932 b=4.1746 c=9.4809 alpha=102.72 beta=102.47 gamma=90.00
Last column: nearest neighbours and their distance in Å.
Sites, in units of the cell vectors:
Ga1 0.0672 0.5672 0.1344  3 Ga 2.42-2.51
Ga2 0.3522 0.3522 0.7044  2 Ga 2.51
Tm1 0.5000 0.0000 0.0000  12 Ga 3.16-3.39
Tm2 0.8144 0.8144 0.6289  7 Ga 2.99-3.01
Ga3 0.9328 0.4328 0.8656  3 Ga 2.42-2.51
Ga4 0.6478 0.6478 0.2956  2 Ga 2.51
Tm3 0.1856 0.1856 0.3711  7 Ga 2.99-3.01

Among the structures shown above, B is the most stable, with the second-best lying 24 meV/atom higher.